Entry 1:
Sb3S2O2, relaxed, DFT PBE-GGA; raw formation energy = -0.682 eV per atom; SG = No. 12; calculated density = 5.02 g cm⁻³
1.0
6.311 -2.062 0.000
6.311 2.062 0.000
-2.352 0.000 5.866
Sb S O
3 2 2
Cartesian
0.000 0.000 0.000
0.656 0.000 4.510
9.614 0.000 1.356
3.207 0.000 4.166
7.063 0.000 1.700
3.237 0.000 0.694
7.033 0.000 5.171

=====

Entry 2:
LiLaFe2, relaxed, DFT PBE-GGA; SG = No. 12; calculated density = 6.51 g cm⁻³
1.0
2.704 -4.492 0.000
2.704 4.492 0.000
-1.349 0.000 2.705
Li La Fe
1 1 2
Cartesian
0.000 0.000 0.000
2.704 0.000 0.000
0.677 2.246 1.353
0.677 -2.246 1.353

=====

Entry 3:
CsTa2Cu, relaxed, DFT PBE-GGA; SG = No. 122; calculated density = 10.31 g cm⁻³
1.0
-2.027 2.027 10.941
2.027 -2.027 10.941
2.027 2.027 -10.941
Cs Ta Cu
2 4 2
Cartesian
0.000 0.000 0.000
0.000 2.027 5.470
1.014 1.123 -2.735
2.931 1.014 2.735
1.014 0.904 8.205
-0.904 1.014 13.676
2.027 0.000 5.470
0.000 0.000 10.941

=====

Entry 4:
Y3Ni7P4, relaxed, DFT PBE-GGA; SG = No. 12; calculated density = 6.69 g cm⁻³
1.0
7.289 -1.902 0.000
7.289 1.902 0.000
-5.285 0.000 7.173
Y Ni P
3 7 4
Cartesian
0.000 0.000 0.000
2.955 0.000 2.321
6.337 0.000 4.852
-2.643 0.000 3.586
0.163 0.000 3.003
-0.661 0.000 7.005
3.388 0.000 5.150
5.904 0.000 2.023
9.953 0.000 0.168
9.129 0.000 4.170
-2.765 0.000 5.912
1.095 0.000 5.212
8.197 0.000 1.961
12.057 0.000 1.261

=====

no.,calculated total energy (eV/f.u.)
1,-35.31
2,-21.66
3,-22.29
4,-93.97